AgMoI2O | GGA+U | relaxed

Results
space group	No. 123
ΔE to the lowest computed polymorph	367	kJ/mol of formula units
E	-3.11	eV/atom

a b c (Å): 5.8251 5.8251 4.0287
angles (deg): 90.00 90.00 90.00
Site moments in Bohr magnetons follow the coordinates.
Element x y z (fractional)
Ag1 0.0000 0.0000 0.0000  -0.14
Mo1 0.5000 0.5000 0.5000  4.08
I1 0.0000 0.5000 0.0000  -0.10
I2 0.5000 0.0000 0.0000  -0.10
O1 0.0000 0.0000 0.5000  -0.45